A plane-wave DFT calculation with PBE-GGA was carried out for a relaxed structure of Ca2LaMgRh.

```
Ca2LaMgRh
1.0
-2.1572 0.2902 4.9447
-3.7453 -3.6250 -1.4212
3.1463 -3.8781 1.6003
Rh Ca La Mg
1 2 1 1
Cartesian
0.0000 0.0000 0.0000 Rh
-1.8726 -1.8125 -0.7106 Ca
-1.0786 0.1451 2.4723 Ca
-1.3781 -3.6064 2.5619 La
1.5732 -1.9391 0.8001 Mg
```

Properties
The value obtained for the density of states at the Fermi level is 5.46 states/eV per cell. The formation enthalpy at 0 K is -0.103 eV/atom. The calculation puts the theoretical density at 3.757 Mg/m³. The symmetry is P4/mmm. For the distance to the lowest polymorph of the same formula, the calculation gives 0.150 eV/atom.


A plane-wave DFT calculation with PBE-GGA was carried out for a relaxed structure of CaLa2MgRh.

```
CaLa2MgRh
1.0
5.5474 0.0000 0.0000
0.0000 5.5474 0.0000
0.0000 0.0000 5.3879
Ca La Mg Rh
1 2 1 1
Cartesian
2.7737 2.7737 2.6940 Ca
2.7737 0.0000 0.0000 La
0.0000 2.7737 0.0000 La
0.0000 0.0000 2.6940 Mg
0.0000 0.0000 0.0000 Rh
```

Properties
The value obtained for the density of states at the Fermi level is 3.96 states/eV per cell. The formation enthalpy at 0 K is -0.313 eV/atom. The calculation puts the theoretical density at 4.458 Mg/m³. The symmetry is P4/mmm. For the distance to the lowest polymorph of the same formula, the calculation gives 0.000 eV/atom.


A plane-wave DFT calculation with PBE-GGA was carried out for a relaxed structure of CaLaMg2Rh.

```
CaLaMg2Rh
1.0
-0.6259 -0.1860 -5.2380
-1.0963 -5.1539 0.3140
-5.1074 1.1212 0.5704
Ca Mg Rh La
1 2 1 1
Cartesian
-3.4148 -2.1094 -2.1768 Ca
-0.5482 -2.5769 0.1570 Mg
-0.3129 -0.0930 -2.6190 Mg
0.0000 0.0000 0.0000 Rh
-2.5537 0.5606 0.2852 La
```

Properties
The value obtained for the density of states at the Fermi level is 3.72 states/eV per cell. The formation enthalpy at 0 K is -0.297 eV/atom. The calculation puts the theoretical density at 3.745 Mg/m³. The symmetry is P4/mmm. For the distance to the lowest polymorph of the same formula, the calculation gives 0.000 eV/atom.


A plane-wave DFT calculation with PBE-GGA was carried out for a relaxed structure of CaLa2MgRh.

```
CaLa2MgRh
1.0
-3.5088 0.9890 4.1350
3.5994 -2.1627 3.5716
2.3410 5.1446 0.7560
La Mg Ca Rh
2 1 1 1
Cartesian
1.7997 -1.0813 1.7858 La
-1.7544 0.4945 2.0675 La
1.2158 1.9855 4.2313 Mg
1.1705 2.5723 0.3780 Ca
0.0000 0.0000 0.0000 Rh
```

Properties
The value obtained for the density of states at the Fermi level is 4.69 states/eV per cell. The formation enthalpy at 0 K is -0.288 eV/atom. The calculation puts the theoretical density at 4.265 Mg/m³. The symmetry is P4/mmm. For the distance to the lowest polymorph of the same formula, the calculation gives 0.025 eV/atom.


Please write out number 3 again, unchanged.
A plane-wave DFT calculation with PBE-GGA was carried out for a relaxed structure of CaLaMg2Rh.

```
CaLaMg2Rh
1.0
-0.6259 -0.1860 -5.2380
-1.0963 -5.1539 0.3140
-5.1074 1.1212 0.5704
Ca Mg Rh La
1 2 1 1
Cartesian
-3.4148 -2.1094 -2.1768 Ca
-0.5482 -2.5769 0.1570 Mg
-0.3129 -0.0930 -2.6190 Mg
0.0000 0.0000 0.0000 Rh
-2.5537 0.5606 0.2852 La
```

Properties
The value obtained for the density of states at the Fermi level is 3.72 states/eV per cell. The formation enthalpy at 0 K is -0.297 eV/atom. The calculation puts the theoretical density at 3.745 Mg/m³. The symmetry is P4/mmm. For the distance to the lowest polymorph of the same formula, the calculation gives 0.000 eV/atom.


- The lowest density of states at the Fermi level belongs to which entry?
  CaLaMg2Rh


- What is the formula in the first record?
  Ca2LaMgRh


- The lowest formation enthalpy at 0 K belongs to which entry?
  number 2